1.
Here is a geometry-optimized Ac2TlIn2Rh5 structure from Alexandria via LeMat-Bulk. Energies are from PBE.

Computed properties:
Its energy of formation is -0.336 eV/atom. Its space group is P4/mbm, No. 127.

abc: 3.8096 10.5570 10.5570
angles: 90.00 90.00 90.00
Atoms (fractional coordinates):
Ac  0.0000  0.6751  0.1751
Ac  0.0000  0.3249  0.8249
Ac  0.0000  0.1751  0.3249
Ac  0.0000  0.8249  0.6751
Tl  0.0000  0.0000  0.0000
Tl  0.0000  0.5000  0.5000
In  0.0000  0.1231  0.6231
In  0.0000  0.8769  0.3769
In  0.0000  0.6231  0.8769
In  0.0000  0.3769  0.1231
Rh  0.5000  0.2038  0.0610
Rh  0.5000  0.7962  0.9390
Rh  0.5000  0.0610  0.7962
Rh  0.5000  0.7038  0.4390
Rh  0.5000  0.9390  0.2038
Rh  0.5000  0.2962  0.5610
Rh  0.5000  0.5610  0.7038
Rh  0.5000  0.4390  0.2962
Rh  0.5000  0.5000  0.0000
Rh  0.5000  0.0000  0.5000

2.
Here is a geometry-optimized Ac3Tl2In3Rh structure from Alexandria via LeMat-Bulk. Energies are from PBE.

Computed properties:
Its energy of formation is -0.484 eV/atom. Its space group is P-62m, No. 189.

abc: 4.8732 7.9295 7.9295
angles: 120.00 90.00 90.00
Atoms (fractional coordinates):
Ac  0.0000  0.0000  0.3886
Ac  0.0000  0.6114  0.6114
Ac  0.0000  0.3886  0.0000
Tl  0.5000  0.3333  0.6667
Tl  0.5000  0.6667  0.3333
In  0.5000  0.7744  0.0000
In  0.5000  0.2256  0.2256
In  0.5000  0.0000  0.7744
Rh  0.0000  0.0000  0.0000

3.
Here is a geometry-optimized Ac2TlInRh structure from Alexandria via LeMat-Bulk. Energies are from PBE.

Computed properties:
Its energy of formation is -0.533 eV/atom. Its space group is P2_1/m, No. 11.

abc: 4.5680 8.3937 8.3818
angles: 110.06 90.00 90.00
Atoms (fractional coordinates):
Ac  0.7500  0.8941  0.6675
Ac  0.7500  0.7171  0.0254
Ac  0.2500  0.1059  0.3325
Ac  0.2500  0.2829  0.9746
Tl  0.2500  0.6841  0.3326
Tl  0.7500  0.3159  0.6674
In  0.2500  0.5596  0.6591
In  0.7500  0.4404  0.3409
Rh  0.2500  0.8829  0.9029
Rh  0.7500  0.1171  0.0971

4.
Here is a geometry-optimized AcYInRh structure from Alexandria via LeMat-Bulk. Energies are from PBE.

Computed properties:
Its energy of formation is -0.395 eV/atom. Its space group is F-43m, No. 216.

abc: 5.3420 5.3420 5.3420
angles: 60.00 60.00 60.00
Atoms (fractional coordinates):
Y  0.7500  0.7500  0.7500
Ac  0.2500  0.2500  0.2500
Rh  0.5000  0.5000  0.5000
In  0.0000  0.0000  0.0000

5.
Here is a geometry-optimized Ac2Zn4InRh3 structure from Alexandria via LeMat-Bulk. Energies are from PBE.

Computed properties:
Its energy of formation is -0.474 eV/atom. Its space group is P-4m2, No. 115.

abc: 4.2049 4.2049 11.6810
angles: 90.00 90.00 90.00
Atoms (fractional coordinates):
Ac  0.5000  0.0000  0.2335
Ac  0.0000  0.5000  0.7665
Zn  0.5000  0.5000  0.0000
Zn  0.0000  0.0000  0.0000
Zn  0.5000  0.0000  0.6447
Zn  0.0000  0.5000  0.3553
In  0.5000  0.5000  0.5000
Rh  0.0000  0.0000  0.5000
Rh  0.5000  0.0000  0.8673
Rh  0.0000  0.5000  0.1327

6.
Here is a geometry-optimized Ac2ZnInRh6 structure from Alexandria via LeMat-Bulk. Energies are from PBE.

Computed properties:
Its energy of formation is -0.379 eV/atom. Its space group is P-1, No. 2.

abc: 6.6770 6.5083 6.5199
angles: 51.28 86.52 107.65
Atoms (fractional coordinates):
Ac  0.2571  0.7437  0.4868
Ac  0.7429  0.2563  0.5132
Zn  0.0000  0.0000  0.0000
In  0.5000  0.5000  0.0000
Rh  0.2937  0.8035  0.9969
Rh  0.9571  0.7507  0.7977
Rh  0.2928  0.2895  0.5096
Rh  0.7063  0.1965  0.0031
Rh  0.0429  0.2493  0.2023
Rh  0.7072  0.7105  0.4904

7.
Here is a geometry-optimized Ac3In3Ru2 structure from Alexandria via LeMat-Bulk. Energies are from PBE.

Computed properties:
Its energy of formation is -0.333 eV/atom. Its space group is C2/m, No. 12.

abc: 4.8895 5.4317 9.0117
angles: 80.93 74.26 90.00
Atoms (fractional coordinates):
Ac  0.8327  0.4199  0.3349
Ac  0.1673  0.5801  0.6651
Ac  0.0000  0.0000  0.0000
In  0.3600  0.9391  0.2799
In  0.5000  0.5000  0.0000
In  0.6400  0.0609  0.7201
Ru  0.7871  0.9071  0.4258
Ru  0.2129  0.0929  0.5742

8.
Here is a geometry-optimized Ac2InRu structure from Alexandria via LeMat-Bulk. Energies are from PBE.

Computed properties:
Its energy of formation is -0.066 eV/atom. Its space group is Fm-3m, No. 225.

abc: 5.5057 5.5057 5.5057
angles: 60.00 60.00 60.00
Atoms (fractional coordinates):
Ru  0.5000  0.5000  0.5000
Ac  0.2500  0.2500  0.2500
Ac  0.7500  0.7500  0.7500
In  0.0000  0.0000  0.0000

9.
Here is a geometry-optimized Ac6In3Ru structure from Alexandria via LeMat-Bulk. Energies are from PBE.

Computed properties:
Its energy of formation is -0.232 eV/atom. Its space group is R-3c, No. 167.

abc: 9.2054 9.2054 9.2054
angles: 92.97 92.97 92.97
Atoms (fractional coordinates):
Ac  0.3048  0.0776  0.9520
Ac  0.9224  0.0480  0.6952
Ac  0.5775  0.8047  0.4519
Ac  0.0480  0.6952  0.9224
Ac  0.4519  0.5775  0.8047
Ac  0.1953  0.5481  0.4225
Ac  0.8047  0.4519  0.5775
Ac  0.5481  0.4225  0.1953
Ac  0.9520  0.3048  0.0776
Ac  0.4225  0.1953  0.5481
Ac  0.0776  0.9520  0.3048
Ac  0.6952  0.9224  0.0480
In  0.2501  0.8595  0.6407
In  0.8595  0.6407  0.2501
In  0.3593  0.7499  0.1405
In  0.6407  0.2501  0.8595
In  0.1405  0.3593  0.7499
In  0.7499  0.1405  0.3593
Ru  0.0000  0.0000  0.0000
Ru  0.5000  0.5000  0.5000

10.
Here is a geometry-optimized AcIn2Ru structure from Alexandria via LeMat-Bulk. Energies are from PBE.

Computed properties:
Its energy of formation is -0.079 eV/atom. Its space group is P4/mmm, No. 123.

abc: 3.4656 3.4656 7.9991
angles: 90.00 90.00 90.00
Atoms (fractional coordinates):
Ru  0.5000  0.5000  0.0000
Ac  0.5000  0.5000  0.5000
In  0.0000  0.0000  0.8143
In  0.0000  0.0000  0.1857

11.
Here is a geometry-optimized Ac6InRu2 structure from Alexandria via LeMat-Bulk. Energies are from PBE.

Computed properties:
Its energy of formation is -0.095 eV/atom. Its space group is Imma, No. 74.

abc: 10.5439 10.0410 10.0410
angles: 53.49 58.34 58.34
Atoms (fractional coordinates):
Ac  0.5852  0.7288  0.6013
Ac  0.9148  0.3987  0.2712
Ac  0.4148  0.2712  0.3987
Ac  0.0852  0.6013  0.7288
Ac  0.9237  0.9315  0.3198
Ac  0.5763  0.6802  0.0685
Ac  0.0763  0.0685  0.6802
Ac  0.4237  0.3198  0.9315
Ac  0.1744  0.6805  0.0684
Ac  0.3256  0.9316  0.3195
Ac  0.8256  0.3195  0.9316
Ac  0.6744  0.0684  0.6805
In  0.2500  0.1048  0.8952
In  0.7500  0.8952  0.1048
Ru  0.2818  0.7186  0.7183
Ru  0.2182  0.2817  0.2814
Ru  0.7182  0.2814  0.2817
Ru  0.7818  0.7183  0.7186

12.
Here is a geometry-optimized Ac2InRu structure from Alexandria via LeMat-Bulk. Energies are from PBE.

Computed properties:
Its energy of formation is -0.131 eV/atom. Its space group is Imm2, No. 44.

abc: 4.3641 5.9327 5.9328
angles: 65.22 68.42 68.43
Atoms (fractional coordinates):
Ac  0.0471  0.8990  0.0074
Ac  0.4529  0.4926  0.6010
In  0.2500  0.1917  0.3083
Ru  0.7500  0.9167  0.5833

13.
Here is a geometry-optimized Ac12InRu4 structure from Alexandria via LeMat-Bulk. Energies are from PBE.

Computed properties:
Its energy of formation is -0.126 eV/atom. Its space group is Im-3, No. 204.

abc: 9.6131 9.6131 9.6131
angles: 109.47 109.47 109.47
Atoms (fractional coordinates):
Ac  0.8185  0.2983  0.1168
Ac  0.2983  0.4798  0.1815
Ac  0.8832  0.1815  0.7017
Ac  0.2983  0.1168  0.8185
Ac  0.1168  0.8185  0.2983
Ac  0.7017  0.5202  0.8185
Ac  0.4798  0.1815  0.2983
Ac  0.5202  0.8185  0.7017
Ac  0.7017  0.8832  0.1815
Ac  0.8185  0.7017  0.5202
Ac  0.1815  0.2983  0.4798
Ac  0.1815  0.7017  0.8832
In  0.0000  0.0000  0.0000
Ru  0.0000  0.5000  0.0000
Ru  0.5000  0.0000  0.0000
Ru  0.5000  0.5000  0.5000
Ru  0.0000  0.0000  0.5000

14.
Here is a geometry-optimized Ac5InRu structure from Alexandria via LeMat-Bulk. Energies are from PBE.

Computed properties:
Its energy of formation is -0.104 eV/atom. Its space group is P4/mmm, No. 123.

abc: 5.2892 5.2891 8.9561
angles: 90.00 90.00 90.00
Atoms (fractional coordinates):
Ac  0.0000  0.5000  0.8017
Ac  0.0000  0.5000  0.1983
Ac  0.5000  0.0000  0.8017
Ac  0.5000  0.0000  0.1983
Ac  0.5000  0.5000  0.5000
In  0.0000  0.0000  0.5000
Ru  0.5000  0.5000  0.0000

15.
Here is a geometry-optimized Ac2InRu structure from Alexandria via LeMat-Bulk. Energies are from PBE.

Computed properties:
Its energy of formation is -0.234 eV/atom. Its space group is Pnma, No. 62.

abc: 5.8301 7.8928 11.5511
angles: 90.00 90.00 90.00
Atoms (fractional coordinates):
Ac  0.2500  0.1605  0.5714
Ac  0.7500  0.3395  0.0714
Ac  0.7500  0.8395  0.4286
Ac  0.2500  0.6605  0.9286
Ac  0.2500  0.5609  0.2803
Ac  0.7500  0.9391  0.7803
Ac  0.7500  0.4391  0.7197
Ac  0.2500  0.0609  0.2197
In  0.2500  0.1575  0.8952
In  0.7500  0.3425  0.3952
In  0.7500  0.8425  0.1048
In  0.2500  0.6575  0.6048
Ru  0.2500  0.8525  0.4094
Ru  0.7500  0.6475  0.9094
Ru  0.7500  0.1475  0.5906
Ru  0.2500  0.3525  0.0906

16.
Here is a geometry-optimized Ac6InRu2 structure from Alexandria via LeMat-Bulk. Energies are from PBE.

Computed properties:
Its energy of formation is -0.227 eV/atom. Its space group is Immm, No. 71.

abc: 9.2600 9.2600 9.2600
angles: 104.31 110.69 113.55
Atoms (fractional coordinates):
Ac  0.5276  0.7047  0.8229
Ac  0.4724  0.2953  0.1771
Ac  0.1182  0.2953  0.8229
Ac  0.8818  0.7047  0.1771
Ac  0.7983  0.7681  0.5663
Ac  0.2017  0.2319  0.4337
Ac  0.2017  0.7681  0.9698
Ac  0.7983  0.2319  0.0302
Ac  0.6851  0.3516  0.6665
Ac  0.3149  0.6484  0.3335
Ac  0.3149  0.9814  0.6665
Ac  0.6851  0.0186  0.3335
In  0.0000  0.5000  0.5000
In  0.0000  0.0000  0.0000
Ru  0.5000  0.3662  0.8662
Ru  0.5000  0.6338  0.1338
Ru  0.6837  0.0000  0.6837
Ru  0.3163  0.0000  0.3163

17.
Here is a geometry-optimized Ac5In2Ru structure from Alexandria via LeMat-Bulk. Energies are from PBE.

Computed properties:
Its energy of formation is -0.111 eV/atom. Its space group is I4mm, No. 107.

abc: 7.9737 7.9737 7.3375
angles: 122.91 122.90 89.97
Atoms (fractional coordinates):
Ac  0.7460  0.2480  0.9939
Ac  0.2482  0.2482  0.9943
Ac  0.7464  0.7464  0.9947
Ac  0.2480  0.7460  0.9939
Ac  0.7539  0.7539  0.5076
In  0.2387  0.7384  0.4771
In  0.7384  0.2386  0.4771
Ru  0.0575  0.0575  0.1154

18.
Here is a geometry-optimized Ac5InRu2 structure from Alexandria via LeMat-Bulk. Energies are from PBE.

Computed properties:
Its energy of formation is -0.257 eV/atom. Its space group is I4/mcm, No. 140.

abc: 8.3567 8.3567 9.5509
angles: 115.94 115.94 90.00
Atoms (fractional coordinates):
Ac  0.5319  0.7092  0.7411
Ac  0.7908  0.9681  0.2589
Ac  0.0000  0.0000  0.0000
Ac  0.5000  0.5000  0.0000
Ac  0.2092  0.0319  0.7411
Ac  0.7092  0.2092  0.7411
Ac  0.0319  0.5319  0.7411
Ac  0.2908  0.7908  0.2589
Ac  0.9681  0.4681  0.2589
Ac  0.4681  0.2908  0.2589
In  0.7500  0.7500  0.5000
In  0.2500  0.2500  0.5000
Ru  0.1409  0.3591  0.0000
Ru  0.6409  0.1409  0.0000
Ru  0.3591  0.8591  0.0000
Ru  0.8591  0.6409  0.0000

19.
Here is a geometry-optimized Ac2InRu structure from Alexandria via LeMat-Bulk. Energies are from PBE.

Computed properties:
Its energy of formation is 0.055 eV/atom. Its space group is R-3m, No. 166.

abc: 4.1838 4.1838 10.7389
angles: 78.77 78.77 60.00
Atoms (fractional coordinates):
Ru  0.5000  0.5000  0.5000
Ac  0.1148  0.1148  0.6556
Ac  0.8852  0.8852  0.3444
In  0.0000  0.0000  0.0000

20.
Here is a geometry-optimized Ac7InRu2 structure from Alexandria via LeMat-Bulk. Energies are from PBE.

Computed properties:
Its energy of formation is -0.084 eV/atom. Its space group is Cmmm, No. 65.

abc: 5.4632 8.8892 8.8892
angles: 111.40 90.00 90.00
Atoms (fractional coordinates):
Ac  0.0000  0.7081  0.2919
Ac  0.0000  0.2919  0.7081
Ac  0.5000  0.0506  0.3127
Ac  0.5000  0.9494  0.6873
Ac  0.5000  0.3127  0.0506
Ac  0.5000  0.6873  0.9494
Ac  0.5000  0.5000  0.5000
In  0.0000  0.0000  0.0000
Ru  0.5000  0.6955  0.3045
Ru  0.5000  0.3045  0.6955

21.
Here is a geometry-optimized AcIn2Ru structure from Alexandria via LeMat-Bulk. Energies are from PBE.

Computed properties:
Its energy of formation is -0.133 eV/atom. Its space group is R-3m, No. 166.

abc: 4.6267 4.6267 6.3468
angles: 68.62 68.62 60.00
Atoms (fractional coordinates):
Ru  0.5000  0.5000  0.5000
Ac  0.0000  0.0000  0.0000
In  0.7891  0.7891  0.6327
In  0.2109  0.2109  0.3673

22.
Here is a geometry-optimized Ac2InRu2 structure from Alexandria via LeMat-Bulk. Energies are from PBE.

Computed properties:
Its energy of formation is -0.201 eV/atom. Its space group is Immm, No. 71.

abc: 4.5145 6.0223 6.0223
angles: 60.89 67.99 67.99
Atoms (fractional coordinates):
Ac  0.7950  0.7050  0.7050
Ac  0.2050  0.2950  0.2950
In  0.0000  0.0000  0.0000
Ru  0.5000  0.7093  0.2907
Ru  0.5000  0.2907  0.7093